# OsWBr PBE relaxed
data_OsWBr
_space_group_name_H-M_alt 'P 1'
_space_group_IT_number 1
_space_group_name_Hall 'P 1'
_cell_length_a 7.4694
_cell_length_b 7.1996
_cell_length_c 2.9595
_cell_angle_alpha 83.53
_cell_angle_beta 73.28
_cell_angle_gamma 23.18
loop_
_atom_site_label
_atom_site_fract_x
_atom_site_fract_y
_atom_site_fract_z
_atom_site_occupancy
Os1 0.0000 0.0000 0.0000 1
W1 0.6370 0.6370 0.3630 1
Br1 0.3040 0.3040 0.6960 1
# calculated density	13.72	g/cm³
# space-group type	Fmm2
# size of the total moment	0.000	μB per cell
# N(E_F)	3.0	states/eV per cell
# E_form (uncorrected)	966.8	meV per atom